one) Below is a geometry-optimized DyHo5 structure, with properties calculated at the PBE-GGA level.

abc: 4.9713 4.9760 7.8726
angles: 108.42 90.00 90.00
Element x y z (fractional)
Ho (0.0000, 0.6668, 0.3337)
Ho (0.0000, 0.3332, 0.6663)
Ho (0.5000, 0.5000, 0.0000)
Ho (0.5000, 0.1668, 0.3336)
Ho (0.5000, 0.8332, 0.6664)
Dy (0.0000, 0.0000, 0.0000)

* total magnetic moment: 0.00 μB/f.u.

---

two) Below is a geometry-optimized DyHo5 structure, with properties calculated at the PBE-GGA level.

abc: 3.6004 6.6463 8.3660
angles: 102.26 90.00 105.72
Element x y z (fractional)
Dy (0.7222, 0.4444, 0.9441)
Ho (0.0000, 0.0000, 0.0004)
Ho (0.6666, 0.3332, 0.3335)
Ho (0.3336, 0.6673, 0.6663)
Ho (0.3888, 0.7776, 0.2781)
Ho (0.0555, 0.1109, 0.6109)

* total magnetic moment: 0.00 μB/f.u.

---

On energetic grounds, two) is preferred over the next structure by 16 meV per atom.

---

one) Below is a geometry-optimized Dy7Ho3 structure, with properties calculated at the PBE-GGA level.

abc: 6.3080 10.7693 10.7693
angles: 120.00 90.00 90.00
Element x y z (fractional)
Dy (0.0001, 0.6667, 0.3333)
Dy (0.5001, 0.3333, 0.6667)
Dy (0.8794, 0.8812, 0.7623)
Dy (0.8794, 0.8812, 0.1188)
Dy (0.8794, 0.2377, 0.1188)
Dy (0.3794, 0.1188, 0.2377)
Dy (0.3794, 0.1188, 0.8812)
Dy (0.3794, 0.7623, 0.8812)
Dy (0.2249, 0.4707, 0.9414)
Dy (0.2249, 0.4707, 0.5293)
Dy (0.2249, 0.0586, 0.5293)
Dy (0.7249, 0.5293, 0.0586)
Dy (0.7249, 0.5293, 0.4707)
Dy (0.7249, 0.9414, 0.4707)
Ho (0.8650, 0.2108, 0.4215)
Ho (0.8650, 0.2108, 0.7892)
Ho (0.8650, 0.5785, 0.7892)
Ho (0.3650, 0.7892, 0.5785)
Ho (0.3650, 0.7892, 0.2108)
Ho (0.3650, 0.4215, 0.2108)

* total magnetic moment: 0.00 μB/f.u.

---

two) Below is a geometry-optimized Dy7Ho3 structure, with properties calculated at the PBE-GGA level.

abc: 4.9793 7.0745 9.3269
angles: 100.86 105.48 90.00
Element x y z (fractional)
Dy (0.0000, 0.5000, 0.0000)
Dy (0.8000, 0.8999, 0.6000)
Dy (0.2000, 0.1001, 0.4000)
Dy (0.6001, 0.3004, 0.2001)
Dy (0.3999, 0.6996, 0.7999)
Dy (0.6000, 0.8001, 0.1999)
Dy (0.4000, 0.1999, 0.8001)
Ho (0.0000, 0.0000, 0.0000)
Ho (0.7998, 0.3998, 0.5997)
Ho (0.2002, 0.6002, 0.4003)

* total magnetic moment: 0.00 μB/f.u.

---

On energetic grounds, two) is preferred over the next structure by 184 meV per atom.

---

one) Below is a geometry-optimized DyHo7 structure, with properties calculated at the PBE-GGA level.

abc: 7.0289 7.0289 7.0289
angles: 60.00 60.00 60.00
Element x y z (fractional)
Dy (0.0000, 0.0000, 0.0000)
Ho (0.5000, 0.5000, 0.0000)
Ho (0.5000, 0.0000, 0.5000)
Ho (0.0000, 0.5000, 0.5000)
Ho (0.5000, 0.0000, 0.0000)
Ho (0.0000, 0.5000, 0.0000)
Ho (0.0000, 0.0000, 0.5000)
Ho (0.5000, 0.5000, 0.5000)

* total magnetic moment: 0.00 μB/f.u.

---

two) Below is a geometry-optimized DyHo7 structure, with properties calculated at the PBE-GGA level.

abc: 3.4977 8.6517 8.6517
angles: 79.05 78.33 78.33
Element x y z (fractional)
Dy (0.0000, 0.0000, 0.0000)
Ho (0.7404, 0.7592, 0.7592)
Ho (0.2596, 0.2408, 0.2408)
Ho (0.0000, 0.5000, 0.5000)
Ho (0.6329, 0.5981, 0.1364)
Ho (0.3671, 0.4019, 0.8636)
Ho (0.3671, 0.8636, 0.4019)
Ho (0.6329, 0.1364, 0.5981)

* total magnetic moment: 0.00 μB/f.u.

---

On energetic grounds, one) is preferred over the next structure by 16 meV per atom.

---

one) Below is a geometry-optimized Dy13Ho3 structure, with properties calculated at the PBE-GGA level.

abc: 7.2296 8.3933 8.3933
angles: 96.22 90.00 90.00
Element x y z (fractional)
Dy (0.7501, 0.9588, 0.5419)
Dy (0.7501, 0.5415, 0.4585)
Dy (0.7501, 0.4581, 0.0412)
Dy (0.0000, 0.7086, 0.7917)
Dy (0.0000, 0.2083, 0.2914)
Dy (0.0000, 0.7918, 0.2082)
Dy (0.2499, 0.9588, 0.5419)
Dy (0.2499, 0.5415, 0.4585)
Dy (0.2499, 0.4581, 0.0412)
Dy (0.5000, 0.2913, 0.7087)
Dy (0.5000, 0.7087, 0.7918)
Dy (0.5000, 0.2082, 0.2913)
Dy (0.5000, 0.7918, 0.2082)
Ho (0.7501, 0.0417, 0.9583)
Ho (0.0000, 0.2912, 0.7088)
Ho (0.2499, 0.0417, 0.9583)

* total magnetic moment: 0.00 μB/f.u.

---

two) Below is a geometry-optimized Dy13Ho3 structure, with properties calculated at the PBE-GGA level.

abc: 7.0646 7.0646 9.9752
angles: 90.00 90.00 90.00
Element x y z (fractional)
Dy (0.5001, 0.0001, 0.2498)
Dy (0.5001, 0.4999, 0.2496)
Dy (0.9999, 0.4999, 0.2498)
Dy (0.7502, 0.7502, 0.0000)
Dy (0.2498, 0.2498, 0.0000)
Dy (0.2496, 0.7504, 0.0000)
Dy (0.5001, 0.0001, 0.7502)
Dy (0.5001, 0.4999, 0.7504)
Dy (0.9999, 0.4999, 0.7502)
Dy (0.7500, 0.2500, 0.5000)
Dy (0.7502, 0.7502, 0.5000)
Dy (0.2498, 0.2498, 0.5000)
Dy (0.2500, 0.7500, 0.5000)
Ho (0.9999, 0.0001, 0.2501)
Ho (0.7504, 0.2496, 0.0000)
Ho (0.9999, 0.0001, 0.7499)

* total magnetic moment: 0.00 μB/f.u.

---

On energetic grounds, one) is preferred over the next structure by 8 meV per atom.